Density functional theory data (PBE) for ScBCl3 after structural relaxation.

a b c (Å): 4.5155 4.5155 4.5155
angles (deg): 90.00 90.00 90.00
Closest atoms and distances in Å follow each position.
Fractional positions:
Cl (0.0000, 0.5000, 0.0000)  2 B 2.26
Cl (0.0000, 0.0000, 0.5000)  2 B 2.26
Cl (0.5000, 0.0000, 0.0000)  2 B 2.26
B (0.0000, 0.0000, 0.0000)  6 Cl 2.26
Sc (0.5000, 0.5000, 0.5000)  12 Cl 3.19

Computed properties:
**Energy relative to the elements, uncorrected**: 0.00 eV/atom
**Volume**: 18.41 Å³ per atom
**Total magnetic moment**: 1.10 μB/f.u.